# 1
Here is a crystal of CrPtSe3 relaxed with PBEsol from Alexandria. Energies are from SCAN.

abc: 4.566 4.566 4.566
angles: 90.00 90.00 90.00
Fractional coordinates of all 5 atoms:
Cr1 0.000 0.000 0.000
Pt1 0.500 0.500 0.500
Se1 0.000 0.000 0.500
Se2 0.000 0.500 0.000
Se3 0.500 0.000 0.000

Properties
space-group type = Pm-3m
uncorrected formation energy = 666.4 meV per atom


# 2
Here is a crystal of Cr2PtSe relaxed with PBEsol from Alexandria. Energies are from SCAN.

abc: 8.102 8.102 8.102
angles: 19.73 19.73 19.73
Fractional coordinates of all 4 atoms:
Cr1 0.245 0.245 0.245
Cr2 0.755 0.755 0.755
Pt1 0.000 0.000 0.000
Se1 0.500 0.500 0.500

Properties
space-group type = R-3m
uncorrected formation energy = 269.7 meV per atom


# 3
Here is a crystal of CrSi3Pt relaxed with PBEsol from Alexandria. Energies are from SCAN.

abc: 4.331 4.331 4.331
angles: 90.00 90.00 90.00
Fractional coordinates of all 5 atoms:
Cr1 0.000 0.000 0.000
Si1 0.000 0.000 0.500
Si2 0.000 0.500 0.000
Si3 0.500 0.000 0.000
Pt1 0.500 0.500 0.500

Properties
space-group type = Pm-3m
uncorrected formation energy = 675.3 meV per atom


# 4
Here is a crystal of CrSi2Pt relaxed with PBEsol from Alexandria. Energies are from SCAN.

abc: 4.554 4.554 4.255
angles: 104.55 104.55 37.64
Fractional coordinates of all 4 atoms:
Cr1 0.000 0.000 0.000
Si1 0.263 0.263 0.894
Si2 0.515 0.515 0.539
Pt1 0.770 0.770 0.389

Properties
space-group type = Cm
uncorrected formation energy = -429.2 meV per atom


# 5
Here is a crystal of Sr2CrPt relaxed with PBEsol from Alexandria. Energies are from SCAN.

abc: 8.315 8.315 8.315
angles: 30.24 30.24 30.24
Fractional coordinates of all 4 atoms:
Sr1 0.000 0.000 0.000
Sr2 0.175 0.175 0.175
Cr1 0.754 0.754 0.754
Pt1 0.421 0.421 0.421

Properties
space-group type = R3m
E_form = -0.43 eV per atom
excess energy over the best structure of this formula in the dataset = 0.0000 eV/atom


# 6
Here is a crystal of Sr2CrPt relaxed with PBEsol from Alexandria. Energies are from SCAN.

abc: 3.728 3.728 7.728
angles: 90.00 90.00 90.00
Fractional coordinates of all 4 atoms:
Sr1 0.000 0.000 0.220
Sr2 0.000 0.000 0.780
Cr1 0.500 0.500 0.500
Pt1 0.500 0.500 0.000

Properties
space-group type = P4/mmm
E_form = -0.20 eV per atom
excess energy over the best structure of this formula in the dataset = 0.2274 eV/atom


# 7
Here is a crystal of TaCrPt relaxed with PBEsol from Alexandria. Energies are from SCAN.

abc: 6.285 6.285 6.285
angles: 155.15 155.15 35.43
Fractional coordinates of all 3 atoms:
Ta1 0.000 0.000 0.000
Cr1 0.671 0.671 0.000
Pt1 0.319 0.319 0.000

Properties
space-group type = I4mm
E_form = -0.25 eV per atom
excess energy over the best structure of this formula in the dataset = 0.0000 eV/atom


# 8
Here is a crystal of TaCr2Pt relaxed with PBEsol from Alexandria. Energies are from SCAN.

abc: 2.834 2.834 6.853
angles: 90.00 90.00 90.00
Fractional coordinates of all 4 atoms:
Ta1 0.000 0.000 0.000
Cr1 0.000 0.000 0.443
Cr2 0.500 0.500 0.269
Pt1 0.500 0.500 0.704

Properties
space-group type = P4mm
E_form = -0.28 eV per atom


# 9
Here is a crystal of TaCrPt3 relaxed with PBEsol from Alexandria. Energies are from SCAN.

abc: 4.475 4.475 4.475
angles: 90.00 90.00 90.00
Fractional coordinates of all 5 atoms:
Ta1 0.000 0.000 0.000
Cr1 0.500 0.500 0.500
Pt1 0.000 0.500 0.500
Pt2 0.500 0.000 0.500
Pt3 0.500 0.500 0.000

Properties
space-group type = Pm-3m
E_form = 1.04 eV per atom


# 10
Here is a crystal of TaCrPt relaxed with PBEsol from Alexandria. Energies are from SCAN.

abc: 4.269 4.269 4.269
angles: 60.00 60.00 60.00
Fractional coordinates of all 3 atoms:
Ta1 0.000 0.000 0.000
Cr1 0.500 0.500 0.500
Pt1 0.750 0.750 0.750

Properties
space-group type = F-43m
E_form = -0.08 eV per atom
excess energy over the best structure of this formula in the dataset = 0.1686 eV/atom


# 11
Here is a crystal of Cr3TcPt relaxed with PBEsol from Alexandria. Energies are from SCAN.

abc: 4.448 4.448 4.448
angles: 90.00 90.00 90.00
Fractional coordinates of all 5 atoms:
Cr1 0.000 0.000 0.500
Cr2 0.000 0.500 0.000
Cr3 0.500 0.000 0.000
Tc1 0.000 0.000 0.000
Pt1 0.500 0.500 0.500

Properties
space-group type = Pm-3m
E_form = 1.13 eV per atom


# 12
Here is a crystal of Cr4TcPt relaxed with PBEsol from Alexandria. Energies are from SCAN.

abc: 4.689 4.689 4.689
angles: 60.00 60.00 60.00
Fractional coordinates of all 6 atoms:
Cr1 0.125 0.125 0.125
Cr2 0.125 0.125 0.626
Cr3 0.125 0.626 0.125
Cr4 0.626 0.125 0.125
Tc1 0.750 0.750 0.750
Pt1 0.500 0.500 0.500

Properties
space-group type = F-43m
E_form = -0.10 eV per atom


| no. | N(E_F) (states/eV/f.u.) |
| --- | --- |
| 1 | 3.87 |
| 2 | 3.07 |
| 3 | 2.74 |
| 4 | 1.21 |
| 5 | 1.76 |
| 6 | 1.77 |
| 7 | 1.49 |
| 8 | 1.95 |
| 9 | 5.85 |
| 10 | 1.93 |
| 11 | 3.36 |
| 12 | 4.66 |